(1)
Ni3Ir, PBEsol geometry, DFT meta-GGA SCAN; calculated density = 13411 kg/m3; Fermi-level density of states = 5.37 states/eV per cell; crystal system = tetragonal; energy of formation from the pure elements = 0.061 eV per atom; total moment = 2.17 μB/f.u.
1.0
2.594 0.000 0.000
0.000 2.594 0.000
0.000 0.000 6.775
Ni Ir
3 1
Direct
0.000 0.000 0.500 Ni
0.500 0.500 0.261 Ni
0.500 0.500 0.739 Ni
0.000 0.000 0.000 Ir



(2)
TaMoAu2, PBEsol geometry, DFT meta-GGA SCAN; calculated density = 16745 kg/m3; Fermi-level density of states = 3.61 states/eV per cell; crystal system = tetragonal; energy of formation from the pure elements = -0.054 eV per atom; total moment = 0.00 μB/f.u.
1.0
-1.758 -0.505 2.826
-0.155 -3.292 -0.685
4.999 -0.851 2.958
Mo Au Ta
1 2 1
Direct
0.000 0.000 0.507 Mo
0.000 0.000 0.003 Au
0.500 0.500 0.249 Au
0.500 0.500 0.741 Ta



(3)
SiMoRu4, PBEsol geometry, DFT meta-GGA SCAN; calculated density = 10157 kg/m3; Fermi-level density of states = 7.34 states/eV per cell; formation energy without anion corrections = 0.515 eV/atom; crystal system = cubic; total moment = 0.00 μB/f.u.
1.0
4.962 0.000 0.000
2.481 4.297 0.000
2.481 1.432 4.051
Ru Mo Si
4 1 1
Direct
0.375 0.375 0.375 Ru
0.874 0.375 0.375 Ru
0.375 0.874 0.375 Ru
0.375 0.375 0.874 Ru
0.000 0.000 0.000 Mo
0.750 0.750 0.750 Si



(4)
TiIrO2, PBEsol geometry, DFT meta-GGA SCAN; calculated density = 11158 kg/m3; Fermi-level density of states = 2.66 states/eV per cell; formation energy without anion corrections = -0.503 eV/atom; ΔE to the lowest computed polymorph = 1.4425 eV/atom; crystal system = cubic; total moment = 0.96 μB/f.u.
1.0
-1.707 -2.439 2.448
1.879 -1.209 3.140
-1.092 1.221 3.489
Ir O Ti
1 2 1
Direct
0.500 0.500 0.500 Ir
0.250 0.250 0.250 O
0.750 0.750 0.750 O
0.000 0.000 0.000 Ti



(5)
K2CaTc, PBEsol geometry, DFT meta-GGA SCAN; calculated density = 2754 kg/m3; Fermi-level density of states = 3.91 states/eV per cell; ΔE to the lowest computed polymorph = 0.1271 eV/atom; crystal system = trigonal; energy of formation from the pure elements = 1.213 eV per atom; total moment = 2.84 μB/f.u.
1.0
-2.548 0.575 2.195
-2.581 -2.220 0.238
4.714 -7.037 9.968
Tc K Ca
1 2 1
Direct
0.500 0.500 0.500 Tc
0.236 0.236 0.292 K
0.764 0.764 0.708 K
0.000 0.000 0.000 Ca



(6)
In3CoC, PBEsol geometry, DFT meta-GGA SCAN; calculated density = 7248 kg/m3; Fermi-level density of states = 1.58 states/eV per cell; ΔE to the lowest computed polymorph = 0.0000 eV/atom; crystal system = cubic; energy of formation from the pure elements = 1.112 eV per atom; total moment = 1.82 μB/f.u.
1.0
-3.503 1.837 2.280
1.997 -1.102 3.955
2.141 4.032 0.042
In C Co
3 1 1
Direct
0.000 0.000 0.500 In
0.500 0.000 0.000 In
0.000 0.500 0.000 In
0.000 0.000 0.000 C
0.500 0.500 0.500 Co



(7)
NbTeSe2, PBEsol geometry, DFT meta-GGA SCAN; calculated density = 7007 kg/m3; Fermi-level density of states = 4.06 states/eV per cell; formation energy without anion corrections = 0.520 eV/atom; crystal system = trigonal; total moment = 0.00 μB/f.u.
1.0
-2.074 2.204 1.310
-0.241 0.293 3.276
6.141 7.382 1.452
Te Nb Se
1 1 2
Direct
0.500 0.500 0.500 Te
0.000 0.000 0.000 Nb
0.085 0.085 0.745 Se
0.915 0.915 0.255 Se



(8)
NbCl4F, PBEsol geometry, DFT meta-GGA SCAN; calculated density = 2564 kg/m3; Fermi-level density of states = 0.00 states/eV per cell; formation energy without anion corrections = -1.743 eV/atom; crystal system = triclinic; total moment = 0.00 μB/f.u.
1.0
-2.054 7.715 1.874
0.822 1.431 9.151
7.947 6.047 0.591
Nb Cl F
4 16 4
Direct
0.988 0.203 0.728 Nb
0.241 0.736 0.827 Nb
0.759 0.264 0.173 Nb
0.012 0.797 0.272 Nb
0.960 0.706 0.860 Cl
0.040 0.294 0.140 Cl
0.732 0.122 0.776 Cl
0.369 0.487 0.899 Cl
0.879 0.852 0.506 Cl
0.533 0.174 0.165 Cl
0.755 0.762 0.255 Cl
0.845 0.457 0.688 Cl
0.268 0.878 0.224 Cl
0.155 0.543 0.312 Cl
0.644 0.277 0.416 Cl
0.121 0.148 0.494 Cl
0.356 0.723 0.584 Cl
0.631 0.513 0.101 Cl
0.245 0.238 0.745 Cl
0.467 0.826 0.835 Cl
0.116 0.782 0.046 F
0.105 0.972 0.796 F
0.884 0.218 0.954 F
0.895 0.028 0.204 F